This record from Alexandria describes a geometry-optimized Th2GaC structure. The functional is GGA-PBE.

extended XYZ file:
```
8
Lattice="-4.3602 2.3633 -1.4064 -5.2571 -1.5486 4.2484 -1.9777 4.7437 4.6551" Properties=species:S:1:pos:R:3 pbc="T T T"
Th -8.1980 4.4379 4.5303
Th -6.6401 3.4362 7.4650
Th -7.0348 0.8545 4.3504
Th -4.9880 3.8829 3.0936
Ga -4.8257 2.4979 0.2629
Ga -3.1520 1.4628 2.7825
C -6.1569 2.9409 5.1344
C -9.0032 4.3154 6.8209
```

Output
formation energy = -0.153 eV per atom
space group = Ima2 (46)
total moment = 0.000 μB/atom
total DFT energy (no corrections) = -6.93 eV per atom